{
  "formula": "PuTaBrO4",
  "functional": "PBE",
  "state": "optimized geometry",
  "formation_energy_uncorrected_ev_per_atom": -2.555,
  "volume_a3_per_atom": 18.7,
  "dft_energy_ev_per_atom": -9.368,
  "lattice": [[5.395, -3.678, 0.000], [5.395, 3.678, 0.000], [-2.510, 0.000, 6.586]],
  "species": ["Pu", "Pu", "Ta", "Ta", "Br", "Br", "O", "O", "O", "O", "O", "O", "O", "O"],
  "frac_coords": [[0.234, 0.234, 0.168], [0.766, 0.766, 0.832], [0.375, 0.375, 0.773], [0.625, 0.625, 0.227], [0.011, 0.011, 0.759], [0.989, 0.989, 0.241], [0.078, 0.495, 0.817], [0.332, 0.332, 0.493], [0.436, 0.436, 0.130], [0.495, 0.078, 0.817], [0.505, 0.922, 0.183], [0.564, 0.564, 0.870], [0.668, 0.668, 0.507], [0.922, 0.505, 0.183]]
}